# CePa3N

A relaxed CePa3N crystal (PBE-GGA, Alexandria).

```
CePa3N
1.0
-1.406 3.191 -3.311
-3.272 -3.127 -1.625
-3.231 1.778 3.086
Pa N Ce
3 1 1
Direct
0.000 0.500 0.000
0.500 0.000 0.000
0.000 0.000 0.500
0.000 0.000 0.000
0.500 0.500 0.500
```

Output
Crystal system ... cubic
Electronic total energy ... -9.081 eV/atom
N(E_F) ... 1.927 states/eV per atom
Energy relative to the elements, uncorrected ... -0.532 eV/atom
Magnetization ... 0.00 μB per cell